*1*
Below is a geometry-optimized SrTl3As structure, with properties calculated at the GGA-PBE level.

The structure in POSCAR format:
```
SrTl3As
1.0
5.645 0.000 0.000
0.000 5.645 0.000
0.000 0.000 5.645
Sr Tl As
1 3 1
Cartesian
2.823 2.823 2.823
0.000 2.823 0.000
0.000 0.000 2.823
2.823 0.000 0.000
0.000 0.000 0.000
```

D(E_F): 0.782 states/eV per atom
theoretical density: 7.16 g/cm³
crystal system: cubic
total moment: 0.0000 μB per atom
space group: Pm-3m


*2*
Below is a geometry-optimized SrTl3As structure, with properties calculated at the GGA-PBE level.

The structure in POSCAR format:
```
SrTl3As
1.0
6.092 0.000 0.000
0.000 6.092 0.000
0.000 0.000 6.092
Sr Tl As
1 3 1
Cartesian
0.000 0.000 0.000
0.000 3.046 0.000
0.000 0.000 3.046
3.046 0.000 0.000
3.046 3.046 3.046
```

D(E_F): 0.564 states/eV per atom
theoretical density: 5.70 g/cm³
crystal system: cubic
total moment: 0.0000 μB per atom
space group: Pm-3m


In eV/atom, relative to the most stable structure: *1* 0.000; *2* 0.701.


*1*
Below is a geometry-optimized SrTl2As2 structure, with properties calculated at the GGA-PBE level.

The structure in POSCAR format:
```
SrTl2As2
1.0
-4.764 -5.526 2.901
1.941 -4.780 -5.918
3.682 -1.784 2.649
Sr Tl As
2 4 4
Cartesian
0.000 0.000 0.000
-1.411 -5.153 -1.509
2.348 -4.977 -2.131
0.298 -8.558 -1.692
-1.487 -7.113 1.763
0.562 -3.532 1.324
-0.128 -6.403 -4.134
-3.051 -7.834 -1.034
-2.694 -3.904 1.117
0.229 -2.473 -1.983
```

D(E_F): 0.106 states/eV per atom
theoretical density: 7.14 g/cm³
crystal system: tetragonal
total moment: 0.0000 μB per atom
space group: P4/mbm


*2*
Below is a geometry-optimized SrTl2As2 structure, with properties calculated at the GGA-PBE level.

The structure in POSCAR format:
```
SrTl2As2
1.0
-4.063 -1.947 0.051
1.839 -3.874 -1.386
-0.076 -4.891 6.244
Sr Tl As
1 2 2
Cartesian
0.000 0.000 0.000
-2.626 -4.874 2.814
0.325 -5.837 2.096
-0.937 -3.246 0.503
-1.364 -7.466 4.407
```

D(E_F): 0.449 states/eV per atom
theoretical density: 7.28 g/cm³
crystal system: tetragonal
total moment: 0.0000 μB per atom
space group: I4/mmm


In eV/atom, relative to the most stable structure: *1* 0.049; *2* 0.000.


*1*
Below is a geometry-optimized SrTl2As structure, with properties calculated at the GGA-PBE level.

The structure in POSCAR format:
```
SrTl2As
1.0
8.833 0.000 0.000
0.000 8.833 0.000
4.416 4.416 3.176
Sr Tl As
2 4 2
Cartesian
0.000 0.000 0.000
8.833 4.416 1.588
6.209 2.208 0.794
2.624 6.625 0.794
6.625 7.041 2.382
11.041 10.625 2.382
4.416 4.416 0.000
4.416 8.833 1.588
```

D(E_F): 0.349 states/eV per atom
theoretical density: 7.66 g/cm³
crystal system: tetragonal
total moment: 0.0000 μB per atom
space group: I-42d


*2*
Below is a geometry-optimized SrTl2As structure, with properties calculated at the GGA-PBE level.

The structure in POSCAR format:
```
SrTl2As
1.0
5.496 0.000 0.000
2.748 4.760 0.000
2.748 1.587 4.488
Sr Tl As
1 2 1
Cartesian
8.244 4.760 3.366
0.000 0.000 0.000
2.748 1.587 1.122
5.496 3.173 2.244
```

D(E_F): 0.600 states/eV per atom
theoretical density: 8.08 g/cm³
crystal system: cubic
total moment: 0.0000 μB per atom
space group: F-43m


In eV/atom, relative to the most stable structure: *1* 0.000; *2* 0.081.